A relaxed CaY2Ge crystal, computed with PBE.

POSCAR file:
```
CaY2Ge
1.0
-4.398 4.398 3.261
4.398 -4.398 3.261
4.398 4.398 -3.261
Ca Y Ge
2 4 2
direct
0.000 0.000 0.000
0.750 0.250 0.500
0.191 0.625 0.066
0.375 0.441 0.566
0.559 0.125 0.934
0.875 0.809 0.434
0.250 0.750 0.500
0.500 0.500 0.000
```

Summary:
**Crystal system**: tetragonal
**Size of the total moment**: 0.0 Bohr magnetons per cell
**Calculated formation energy**: -0.14 eV per atom